Entry 1:
## MgFe2I6 (PBE)

Data for a relaxed structure of MgFe2I6.

## Properties
E_tot = -3.49 eV/atom

Lattice parameters (Å, degrees): 11.007 11.007 7.144 100.13 100.13 93.89
Atoms (fractional coordinates):
Mg 0.001 0.999 0.750
Mg 0.999 0.001 0.250
Fe 0.370 0.523 0.581
Fe 0.477 0.630 0.919
Fe 0.523 0.370 0.081
Fe 0.630 0.477 0.419
I 0.017 0.196 0.056
I 0.174 0.597 0.429
I 0.196 0.017 0.556
I 0.312 0.434 0.887
I 0.403 0.826 0.071
I 0.434 0.312 0.387
I 0.566 0.688 0.613
I 0.597 0.174 0.929
I 0.688 0.566 0.113
I 0.804 0.983 0.444
I 0.826 0.403 0.571
I 0.983 0.804 0.944

=====

Entry 2:
## Mg2FeI (PBE)

Data for a relaxed structure of Mg2FeI.

## Properties
E above lowest polymorph = 0 meV per atom

Lattice parameters (Å, degrees): 7.815 7.815 6.509 90.00 90.00 90.00
Atoms (fractional coordinates):
Mg 0.222 0.750 0.125
Mg 0.250 0.222 0.875
Mg 0.250 0.278 0.375
Mg 0.278 0.750 0.625
Mg 0.722 0.250 0.625
Mg 0.750 0.722 0.375
Mg 0.750 0.778 0.875
Mg 0.778 0.250 0.125
Fe 0.000 0.000 0.000
Fe 0.000 0.500 0.250
Fe 0.500 0.000 0.750
Fe 0.500 0.500 0.500
I 0.000 0.000 0.500
I 0.000 0.500 0.750
I 0.500 0.000 0.250
I 0.500 0.500 0.000

=====

Entry 3:
## MgFe3I12 (PBE)

Data for a relaxed structure of MgFe3I12.

## Properties
E_tot = -3.07 eV/atom

Lattice parameters (Å, degrees): 15.585 15.585 7.701 90.00 90.00 120.00
Atoms (fractional coordinates):
Mg 0.333 0.667 0.250
Mg 0.667 0.333 0.750
Fe 0.130 0.698 0.750
Fe 0.302 0.432 0.750
Fe 0.432 0.130 0.250
Fe 0.568 0.870 0.750
Fe 0.698 0.568 0.250
Fe 0.870 0.302 0.250
I 0.016 0.514 0.750
I 0.038 0.791 0.750
I 0.209 0.247 0.750
I 0.240 0.487 0.016
I 0.240 0.487 0.484
I 0.247 0.038 0.250
I 0.247 0.760 0.016
I 0.247 0.760 0.484
I 0.486 0.502 0.750
I 0.487 0.247 0.516
I 0.487 0.247 0.984
I 0.498 0.984 0.750
I 0.502 0.016 0.250
I 0.513 0.753 0.016
I 0.513 0.753 0.484
I 0.514 0.498 0.250
I 0.753 0.240 0.516
I 0.753 0.240 0.984
I 0.753 0.962 0.750
I 0.760 0.513 0.516
I 0.760 0.513 0.984
I 0.791 0.753 0.250
I 0.962 0.209 0.250
I 0.984 0.486 0.250

=====

Entry 4:
## MgFe3I (PBE)

Data for a relaxed structure of MgFe3I.

## Properties
E above lowest polymorph = 0 meV per atom

Lattice parameters (Å, degrees): 4.653 4.653 4.653 90.00 90.00 90.00
Atoms (fractional coordinates):
Mg 0.000 0.000 0.000
Fe 0.000 0.500 0.500
Fe 0.500 0.000 0.500
Fe 0.500 0.500 0.000
I 0.500 0.500 0.500

=====

Entry 5:
## Mg2FeI6 (PBE)

Data for a relaxed structure of Mg2FeI6.

## Properties
E_tot = -3.04 eV/atom

Lattice parameters (Å, degrees): 7.206 7.206 7.619 90.00 90.00 120.00
Atoms (fractional coordinates):
Mg 0.333 0.667 0.000
Mg 0.667 0.333 0.000
Fe 0.000 0.000 0.000
I 0.000 0.325 0.215
I 0.000 0.675 0.785
I 0.325 0.000 0.215
I 0.325 0.325 0.785
I 0.675 0.000 0.785
I 0.675 0.675 0.215

=====

Entry 6:
## Mg3FeI (PBE)

Data for a relaxed structure of Mg3FeI.

## Properties
E above lowest polymorph = 0 meV per atom

Lattice parameters (Å, degrees): 5.040 5.040 5.040 90.00 90.00 90.00
Atoms (fractional coordinates):
Mg 0.000 0.000 0.500
Mg 0.000 0.500 0.000
Mg 0.500 0.000 0.000
Fe 0.000 0.000 0.000
I 0.500 0.500 0.500

=====

Entry 7:
## MgFe2I8 (PBE)

Data for a relaxed structure of MgFe2I8.

## Properties
E_tot = -3.20 eV/atom

Lattice parameters (Å, degrees): 8.669 8.669 6.909 92.77 92.77 83.41
Atoms (fractional coordinates):
Mg 0.000 0.000 0.000
Fe 0.197 0.197 0.642
Fe 0.803 0.803 0.358
I 0.078 0.723 0.229
I 0.193 0.193 0.268
I 0.277 0.922 0.771
I 0.384 0.384 0.757
I 0.616 0.616 0.243
I 0.723 0.078 0.229
I 0.807 0.807 0.732
I 0.922 0.277 0.771

=====

Entry 8:
## MgFeI4 (PBE)

Data for a relaxed structure of MgFeI4.

## Properties
E_tot = -3.23 eV/atom

Lattice parameters (Å, degrees): 7.417 7.417 9.514 90.00 90.00 90.17
Atoms (fractional coordinates):
Mg 0.168 0.832 0.750
Mg 0.832 0.168 0.250
Fe 0.338 0.338 0.000
Fe 0.662 0.662 0.500
I 0.206 0.208 0.235
I 0.208 0.206 0.765
I 0.289 0.691 0.001
I 0.309 0.711 0.499
I 0.691 0.289 0.999
I 0.711 0.309 0.501
I 0.792 0.794 0.265
I 0.794 0.792 0.735